Entry 1:
{"formula": "Ba2LaZrIr", "functional": "PBE", "state": "relaxed", "dos_ef_per_ev_atom": 1.2587, "sg": "P4/mmm, No. 123", "vol_a3_per_atom": 39.5, "lattice_angstrom": [[6.2103, 0.0000, 0.0000], [0.0000, 6.2103, 0.0000], [0.0000, 0.0000, 5.1212]], "species": ["Ba", "Ba", "La", "Zr", "Ir"], "frac_coords": [[0.0000, 0.5000, 0.0000], [0.5000, 0.0000, 0.0000], [0.0000, 0.0000, 0.5000], [0.5000, 0.5000, 0.5000], [0.5000, 0.5000, 0.0000]]}



Entry 2:
{"formula": "Ag2AsPt", "functional": "PBE", "state": "relaxed", "dos_ef_per_ev_atom": 0.3388, "sg": "Pm, No. 6", "vol_a3_per_atom": 17.5, "lattice_angstrom": [[2.8810, 0.0000, 0.0000], [0.0000, 4.4409, 0.0000], [-1.4149, 0.0000, 5.4760]], "species": ["Ag", "Ag", "As", "Pt"], "frac_coords": [[0.0000, 0.0000, 0.0000], [0.3709, 0.5000, 0.7438], [0.6371, 0.5000, 0.2682], [0.7396, 0.0000, 0.4796]]}



| no. | calculated formation energy (eV per atom) |
| --- | --- |
| 1 | 0.2750 |
| 2 | -0.0081 |